The following is a DFT calculation (PBE) of a relaxed Tl2FeRu crystal.

Results
DFT total energy ... -39.5 eV per cell
E_form ... 0.68 eV/atom
SG ... I-4m2, No. 119
Relative energy among the computed polymorphs ... 0.98 eV/f.u.

a b c (Å): 4.013 4.013 9.170
angles (deg): 90.00 90.00 90.00
Atoms (fractional coordinates):
Tl 0.000 0.000 0.000
Tl 0.000 0.500 0.250
Tl 0.500 0.000 0.750
Tl 0.500 0.500 0.500
Fe 0.000 0.500 0.750
Fe 0.500 0.000 0.250
Ru 0.000 0.000 0.500
Ru 0.500 0.500 0.000